Entry 1:
! MgCd2SbMo | the Alexandria database | PBE | optimized geometry; values from VASP
! **Crystal system**: tetragonal
&SYSTEM
  ibrav = 0, nat = 5, ntyp = 4
/
ATOMIC_SPECIES
Mg 24.30 Mg.upf
Cd 112.41 Cd.upf
Sb 121.76 Sb.upf
Mo 95.94 Mo.upf
CELL_PARAMETERS angstrom
5.0413 0.0000 0.0000
0.0000 5.0413 0.0000
0.0000 0.0000 5.0872
ATOMIC_POSITIONS crystal
Mg 0.0000 0.0000 0.0000
Cd 0.0000 0.5000 0.0000
Cd 0.5000 0.0000 0.0000
Sb 0.5000 0.5000 0.5000
Mo 0.0000 0.0000 0.5000



Entry 2:
! MgCdSi2Mo | the Alexandria database | PBE | optimized geometry; values from VASP
! **Crystal system**: tetragonal
&SYSTEM
  ibrav = 0, nat = 5, ntyp = 4
/
ATOMIC_SPECIES
Mg 24.30 Mg.upf
Cd 112.41 Cd.upf
Si 28.09 Si.upf
Mo 95.94 Mo.upf
CELL_PARAMETERS angstrom
4.9512 0.0000 0.0000
0.0000 4.9512 0.0000
0.0000 0.0000 4.9368
ATOMIC_POSITIONS crystal
Mg 0.0000 0.0000 0.0000
Cd 0.0000 0.0000 0.5000
Si 0.0000 0.5000 0.5000
Si 0.5000 0.0000 0.5000
Mo 0.5000 0.5000 0.0000



Entry 3:
! Mg2CdN | the Alexandria database | PBE | optimized geometry; values from VASP
! **Energy above the most stable polymorph in this dataset**: 0.0000 eV per atom
! **Crystal system**: trigonal
&SYSTEM
  ibrav = 0, nat = 4, ntyp = 3
/
ATOMIC_SPECIES
Mg 24.30 Mg.upf
Cd 112.41 Cd.upf
N 14.01 N.upf
CELL_PARAMETERS angstrom
1.6131 0.9313 7.5188
-1.6131 0.9313 7.5188
0.0000 -1.8626 7.5188
ATOMIC_POSITIONS crystal
Mg 0.2129 0.2129 0.2129
Mg 0.7871 0.7871 0.7871
Cd 0.0000 0.0000 0.0000
N 0.5000 0.5000 0.5000



no.,formation energy (no corrections) (meV per atom),electronic total energy (eV/atom)
1,1099,-2.58
2,1539,-3.30
3,-441,-3.55